Entry 1:
Entry from Alexandria: a relaxed NbAl2HAu crystal (PBE-GGA).

The structure in POSCAR format:
```
NbAl2HAu
1.0
4.2248 0.0000 0.0000
0.0000 4.2248 0.0000
0.0000 0.0000 3.7985
Nb Al H Au
1 2 1 1
direct
0.0000 0.0000 0.0000 Nb
0.0000 0.5000 0.5000 Al
0.5000 0.0000 0.5000 Al
0.0000 0.0000 0.5000 H
0.5000 0.5000 0.0000 Au
```

---

Entry 2:
Entry from Alexandria: a relaxed Al2NiHAu crystal (PBE-GGA).

The structure in POSCAR format:
```
Al2NiHAu
1.0
4.2856 0.0000 0.0000
0.0000 4.2856 0.0000
0.0000 0.0000 3.2949
Al Ni H Au
2 1 1 1
direct
0.0000 0.5000 0.0000 Al
0.5000 0.0000 0.0000 Al
0.0000 0.0000 0.5000 Ni
0.0000 0.0000 0.0000 H
0.5000 0.5000 0.5000 Au
```

---

Entry 3:
Entry from Alexandria: a relaxed AlHPd2Au crystal (PBE-GGA).

The structure in POSCAR format:
```
AlHPd2Au
1.0
4.0045 0.0000 0.0000
0.0000 4.0045 0.0000
0.0000 0.0000 4.0957
Al H Pd Au
1 1 2 1
direct
0.0000 0.0000 0.0000 Al
0.5000 0.5000 0.5000 H
0.0000 0.5000 0.5000 Pd
0.5000 0.0000 0.5000 Pd
0.5000 0.5000 0.0000 Au
```

energy above the lowest structure with this stoichiometry	0.0000	eV per atom

---

Number 1: VASP energy -25.1 eV/cell. Number 2: VASP energy -20.8 eV/cell. Number 3: VASP energy -22.4 eV/cell.